# 1
LiCo2Te (GGA-PBE, optimized geometry); volume = 15.75 Å³ per atom; uncorrected formation energy = 0.4135 eV/atom
1.0
-3.529 3.529 2.529
3.529 -3.529 2.529
3.529 3.529 -2.529
Li Co Te
2 4 2
direct
0.000 0.000 0.000
0.750 0.250 0.500
0.134 0.125 0.509
0.375 0.866 0.991
0.616 0.625 0.491
0.875 0.384 0.009
0.250 0.750 0.500
0.500 0.500 0.000

=====

# 2
BaLa2Ag (GGA-PBE, optimized geometry); volume = 33.97 Å³ per atom; offset from the most stable computed form = 284 meV per atom; ΔH_f (0 K) = 0.217 eV/atom
1.0
0.000 4.081 4.081
4.081 0.000 4.081
4.081 4.081 0.000
Ba La Ag
1 2 1
direct
0.000 0.000 0.000
0.250 0.250 0.250
0.500 0.500 0.500
0.750 0.750 0.750

=====

# 3
Al2Ga2Ni3 (GGA-PBE, optimized geometry); volume = 13.42 Å³ per atom; ΔH_f (0 K) = -0.507 eV/atom
1.0
4.068 0.000 0.000
2.017 3.537 0.000
1.993 1.178 6.526
Al Ga Ni
2 2 3
direct
0.121 0.120 0.137
0.879 0.880 0.863
0.371 0.369 0.388
0.629 0.631 0.612
0.246 0.248 0.762
0.500 0.500 0.000
0.754 0.752 0.238

=====

# 4
ScBiMo2 (GGA-PBE, optimized geometry); volume = 21.10 Å³ per atom; ΔH_f (0 K) = 0.597 eV/atom
1.0
-2.022 2.022 10.318
2.022 -2.022 10.318
2.022 2.022 -10.318
Sc Bi Mo
2 2 4
direct
0.000 0.000 0.000
0.750 0.250 0.500
0.250 0.750 0.500
0.500 0.500 0.000
0.077 0.625 0.952
0.375 0.327 0.452
0.673 0.125 0.048
0.875 0.923 0.548

=====

# 5
ErScAlMo (GGA-PBE, optimized geometry); volume = 20.25 Å³ per atom; ΔH_f (0 K) = -0.013 eV/atom
1.0
0.000 3.434 3.434
3.434 0.000 3.434
3.434 3.434 0.000
Er Sc Al Mo
1 1 1 1
direct
0.000 0.000 0.000
0.500 0.500 0.500
0.250 0.250 0.250
0.750 0.750 0.750

=====

# 6
Hf3PdRu (GGA-PBE, optimized geometry); volume = 23.77 Å³ per atom; offset from the most stable computed form = 0 meV per atom; ΔH_f (0 K) = 0.326 eV/atom
1.0
4.916 0.000 0.000
0.000 4.916 0.000
0.000 0.000 4.916
Hf Pd Ru
3 1 1
direct
0.000 0.000 0.500
0.000 0.500 0.000
0.500 0.000 0.000
0.500 0.500 0.500
0.000 0.000 0.000

=====

# 7
FeSiSe2 (GGA-PBE, optimized geometry); volume = 21.94 Å³ per atom; uncorrected formation energy = -0.0762 eV/atom
1.0
3.952 0.000 0.000
0.000 3.533 0.000
-0.607 0.000 6.285
Fe Si Se
1 1 2
direct
0.000 0.000 0.000
0.630 0.500 0.989
0.155 0.500 0.744
0.557 0.000 0.253

=====

# 8
SrLaCu2O (GGA-PBE, optimized geometry); volume = 39.24 Å³ per atom; uncorrected formation energy = 1.0128 eV/atom
1.0
5.001 0.000 0.000
0.000 5.001 0.000
0.000 0.000 7.846
Sr La Cu O
1 1 2 1
direct
0.000 0.000 0.000
0.000 0.000 0.500
0.000 0.500 0.500
0.500 0.000 0.500
0.500 0.500 0.000

=====

Question: What is the volume in the fifth record?
Answer: 20.25 Å³ per atom

=====

Question: Number 3 is which compound?
Answer: Al2Ga2Ni3

=====

Question: Among the records above, which one has the lowest volume?
Answer: Al2Ga2Ni3

=====

Question: volume of number 5 (ErScAlMo)?
Answer: 20.25 Å³ per atom